w:
Here is LiScFeTe3 after structural relaxation from the Open Quantum Materials Database. Energies are from PBE.

The volume is 25.71 Å³/atom.

The structure belongs to space group P2_1/m (No. 11); the cell edges are 8.337, 3.977 and 9.628 Å and the angles 90.00°, 104.83° and 90.00°. The inequivalent atoms are Li at (0.189, 0.250, 0.225), Sc at (0.332, 0.750, 0.843), Fe at (0.067, 0.250, 0.579), Te at (0.081, 0.250, 0.854), Te at (0.256, 0.750, 0.525) and Te at (0.417, 0.750, 0.159).



x:
Here is LiScFeTe3 after structural relaxation from the Open Quantum Materials Database. Energies are from PBE.

The volume is 25.17 Å³/atom.

The structure belongs to space group Cmcm (No. 63); the cell edges are 3.960, 14.185 and 10.753 Å and the angles 90.00°, 90.00° and 90.00°. The inequivalent atoms are Li at (0.000, 0.212, 0.250), Sc at (0.000, 0.000, 0.000), Fe at (0.000, 0.473, 0.750), Te at (0.000, 0.094, 0.750) and Te at (0.000, 0.358, 0.565).



Short version: x is the least stable of them.



w:
Here is LiFeSiW after structural relaxation from the Open Quantum Materials Database. Energies are from PBE.

The volume is 12.47 Å³/atom.

The structure belongs to space group F-43m (No. 216); the cell edges are 5.843, 5.843 and 5.843 Å and the angles 90.00°, 90.00° and 90.00°. The inequivalent atoms are Li at (0.000, 0.000, 0.000), Fe at (0.250, 0.250, 0.750), Si at (0.000, 0.000, 0.500) and W at (0.250, 0.250, 0.250).



x:
Here is LiFeSiW after structural relaxation from the Open Quantum Materials Database. Energies are from PBE.

The volume is 11.84 Å³/atom.

The structure belongs to space group F-43m (No. 216); the cell edges are 5.743, 5.743 and 5.743 Å and the angles 90.00°, 90.00° and 90.00°. The inequivalent atoms are Li at (0.000, 0.000, 0.000), Fe at (0.000, 0.000, 0.500), Si at (0.250, 0.250, 0.250) and W at (0.250, 0.250, 0.750).



Short version: w is the least stable of them.